Compound: AcIBr2
Source: Alexandria via LeMat-Bulk
Functional: PBE
Structure: optimized geometry

```
AcIBr2
1.0
4.5417 0.0000 0.0000
-2.2708 7.2483 0.0000
0.0000 0.0000 9.5887
Ac I Br
2 2 4
Direct
0.7412 0.4827 0.7500
0.2588 0.5173 0.2500
0.9238 0.8471 0.2500
0.0762 0.1529 0.7500
0.3399 0.6800 0.5682
0.6601 0.3200 0.4318
0.3399 0.6800 0.9318
0.6601 0.3200 0.0682
```

formation energy without anion corrections	-1.88	eV per atom
distance to the lowest polymorph of the same formula	0	meV/atom
uncorrected energy	-0.304	Ry/atom
calculated volume	316	Å³ per cell